Here is an optimized crystal structure of Tb2PuScP4 from Alexandria via LeMat-Bulk. Energies are from PBE-GGA.

Cell lengths 3.964, 6.818, 6.838 Å; angles 109.48, 90.00, 90.00 degrees
Site moments in Bohr magnetons follow the coordinates.
Fractional positions:
Pu1 0.000 0.000 0.000  4.83
P1 0.000 0.742 0.237  -0.05
P2 0.000 0.258 0.763  -0.05
P3 0.500 0.251 0.240  -0.08
P4 0.500 0.749 0.760  -0.08
Tb1 0.500 0.000 0.500  0.04
Tb2 0.000 0.500 0.500  0.01
Sc1 0.500 0.500 0.000  0.04

Output
crystal system = monoclinic
SG = P2/m, No. 10
ρ = 6.963 g/cm3
volume = 174.3 Å³ per cell



Here is an optimized crystal structure of TbPu2ScP4 from Alexandria via LeMat-Bulk. Energies are from PBE-GGA.

Cell lengths 3.958, 6.828, 6.801 Å; angles 109.72, 90.00, 90.00 degrees
Site moments in Bohr magnetons follow the coordinates.
Fractional positions:
P1 0.500 0.759 0.756  -0.03
P2 0.000 0.759 0.250  0.04
P3 0.000 0.241 0.750  0.04
P4 0.500 0.241 0.244  -0.03
Pu1 0.500 0.000 0.500  -4.82
Pu2 0.000 0.500 0.500  4.92
Tb1 0.500 0.500 0.000  0.02
Sc1 0.000 0.000 0.000  -0.02

Output
crystal system = monoclinic
SG = P2/m, No. 10
ρ = 7.829 g/cm3
volume = 173.0 Å³ per cell



Here is an optimized crystal structure of Pu2ThScP4 from Alexandria via LeMat-Bulk. Energies are from PBE-GGA.

Cell lengths 4.015, 6.899, 6.889 Å; angles 109.76, 90.00, 90.00 degrees
Site moments in Bohr magnetons follow the coordinates.
Fractional positions:
Pu1 0.500 0.000 0.500  -4.89
Pu2 0.000 0.500 0.500  5.01
P1 0.000 0.765 0.253  0.04
P2 0.000 0.235 0.747  0.04
P3 0.500 0.239 0.246  -0.03
P4 0.500 0.761 0.754  -0.03
Th1 0.500 0.500 0.000  0.00
Sc1 0.000 0.000 0.000  -0.02

Output
crystal system = monoclinic
SG = P2/m, No. 10
ρ = 8.219 g/cm3
volume = 179.6 Å³ per cell



no.,total DFT energy (no corrections) (eV per atom),D(E_F) (states/eV/f.u.)
1,-7.89,11.00
2,-8.96,22.99
3,-9.31,23.07